# 1
AlS3Br | PBE | relaxed

Properties
- Formation energy (no corrections): 0.2855 eV per atom
- ΔE to the lowest computed polymorph: 380.2 kJ/mol of formula units

Structure (CIF):
```
data_AlS3Br
_chemical_formula_sum 'Al1 S3 Br1'
_cell_length_a 4.657
_cell_length_b 4.657
_cell_length_c 4.657
_cell_angle_alpha 90.00
_cell_angle_beta 90.00
_cell_angle_gamma 90.00
_space_group_name_H-M_alt 'P 1'
_space_group_IT_number 1
loop_
_space_group_symop_operation_xyz
'x,y,z'
loop_
_atom_site_label
_atom_site_fract_x
_atom_site_fract_y
_atom_site_fract_z
S1 0.000 0.500 0.000
S2 0.000 0.000 0.500
S3 0.500 0.000 0.000
Al1 0.000 0.000 0.000
Br1 0.500 0.500 0.500
```

# 2
Cu3HPt2 | PBE | relaxed

Properties
- Final energy: -4.5988 eV/atom

Structure (CIF):
```
data_Cu3HPt2
_chemical_formula_sum 'Cu6 H2 Pt4'
_cell_length_a 4.944
_cell_length_b 4.944
_cell_length_c 8.152
_cell_angle_alpha 60.27
_cell_angle_beta 60.27
_cell_angle_gamma 85.79
_space_group_name_H-M_alt 'P 1'
_space_group_IT_number 1
loop_
_space_group_symop_operation_xyz
'x,y,z'
loop_
_atom_site_label
_atom_site_fract_x
_atom_site_fract_y
_atom_site_fract_z
Cu1 0.321 0.679 0.250
Cu2 0.679 0.321 0.750
Cu3 0.123 0.137 0.047
Cu4 0.863 0.877 0.453
Cu5 0.877 0.863 0.953
Cu6 0.137 0.123 0.547
H1 0.788 0.212 0.250
H2 0.212 0.788 0.750
Pt1 0.766 0.456 0.357
Pt2 0.544 0.234 0.143
Pt3 0.456 0.766 0.857
Pt4 0.234 0.544 0.643
```

# 3
KSiSb2 | PBE | relaxed

Properties
- Formation energy (no corrections): 0.3326 eV per atom

Structure (CIF):
```
data_KSiSb2
_chemical_formula_sum 'K1 Si1 Sb2'
_cell_length_a 5.803
_cell_length_b 5.803
_cell_length_c 5.803
_cell_angle_alpha 131.62
_cell_angle_beta 131.62
_cell_angle_gamma 70.83
_space_group_name_H-M_alt 'P 1'
_space_group_IT_number 1
loop_
_space_group_symop_operation_xyz
'x,y,z'
loop_
_atom_site_label
_atom_site_fract_x
_atom_site_fract_y
_atom_site_fract_z
K1 0.750 0.250 0.500
Sb1 0.000 0.000 0.000
Sb2 0.250 0.750 0.500
Si1 0.500 0.500 0.000
```

# 4
KAsOs2 | PBE | relaxed

Properties
- E_form: 1526 meV/atom

Structure (CIF):
```
data_KAsOs2
_chemical_formula_sum 'K1 As1 Os2'
_cell_length_a 5.465
_cell_length_b 5.465
_cell_length_c 5.465
_cell_angle_alpha 138.03
_cell_angle_beta 138.03
_cell_angle_gamma 60.86
_space_group_name_H-M_alt 'P 1'
_space_group_IT_number 1
loop_
_space_group_symop_operation_xyz
'x,y,z'
loop_
_atom_site_label
_atom_site_fract_x
_atom_site_fract_y
_atom_site_fract_z
As1 0.250 0.750 0.500
K1 0.750 0.250 0.500
Os1 0.000 0.000 0.000
Os2 0.500 0.500 0.000
```

# 5
NdCl2 | PBE | relaxed

Properties
- Formation energy (no corrections): -1.9573 eV per atom

Structure (CIF):
```
data_NdCl2
_chemical_formula_sum 'Nd4 Cl8'
_cell_length_a 7.809
_cell_length_b 7.809
_cell_length_c 7.829
_cell_angle_alpha 119.93
_cell_angle_beta 119.93
_cell_angle_gamma 90.00
_space_group_name_H-M_alt 'P 1'
_space_group_IT_number 1
loop_
_space_group_symop_operation_xyz
'x,y,z'
loop_
_atom_site_label
_atom_site_fract_x
_atom_site_fract_y
_atom_site_fract_z
Nd1 0.000 0.750 0.000
Nd2 0.500 0.750 0.500
Nd3 0.000 0.750 0.500
Nd4 0.000 0.250 0.000
Cl1 0.273 0.007 0.013
Cl2 0.743 0.009 0.486
Cl3 0.743 0.477 0.486
Cl4 0.740 0.007 0.013
Cl5 0.257 0.490 0.513
Cl6 0.727 0.493 0.986
Cl7 0.259 0.493 0.986
Cl8 0.257 0.023 0.513
```

# 6
Na3Tl5Pd6 | PBE | relaxed

Properties
- E_form: -212 meV/atom

Structure (CIF):
```
data_Na3Tl5Pd6
_chemical_formula_sum 'Na3 Tl5 Pd6'
_cell_length_a 8.472
_cell_length_b 8.472
_cell_length_c 8.472
_cell_angle_alpha 147.08
_cell_angle_beta 106.32
_cell_angle_gamma 83.08
_space_group_name_H-M_alt 'P 1'
_space_group_IT_number 1
loop_
_space_group_symop_operation_xyz
'x,y,z'
loop_
_atom_site_label
_atom_site_fract_x
_atom_site_fract_y
_atom_site_fract_z
Na1 0.000 0.000 0.000
Na2 0.298 0.298 0.000
Na3 0.702 0.702 0.000
Tl1 0.673 0.331 0.342
Tl2 0.327 0.669 0.658
Tl3 0.988 0.331 0.658
Tl4 0.012 0.669 0.342
Tl5 0.500 0.000 0.500
Pd1 0.656 0.500 0.156
Pd2 0.344 0.500 0.844
Pd3 0.381 0.113 0.268
Pd4 0.619 0.887 0.732
Pd5 0.845 0.113 0.732
Pd6 0.155 0.887 0.268
```

# 7
TaMo3W2 | PBE | relaxed

Properties
- E_form: 436 meV/atom
- ΔE to the lowest computed polymorph: 313.8 kJ/mol of formula units

Structure (CIF):
```
data_TaMo3W2
_chemical_formula_sum 'Ta2 Mo6 W4'
_cell_length_a 5.088
_cell_length_b 7.473
_cell_length_c 7.473
_cell_angle_alpha 133.95
_cell_angle_beta 90.00
_cell_angle_gamma 90.00
_space_group_name_H-M_alt 'P 1'
_space_group_IT_number 1
loop_
_space_group_symop_operation_xyz
'x,y,z'
loop_
_atom_site_label
_atom_site_fract_x
_atom_site_fract_y
_atom_site_fract_z
Ta1 0.250 0.338 0.662
Ta2 0.750 0.662 0.338
Mo1 0.750 0.168 0.832
Mo2 0.750 0.077 0.421
Mo3 0.250 0.421 0.077
Mo4 0.750 0.579 0.923
Mo5 0.250 0.923 0.579
Mo6 0.250 0.832 0.168
W1 0.000 0.243 0.243
W2 0.500 0.243 0.243
W3 0.000 0.757 0.757
W4 0.500 0.757 0.757
```

# 8
VReMo2 | PBE | relaxed

Properties
- E_form: -134 meV/atom
- ΔE to the lowest computed polymorph: 0.0 kJ/mol of formula units

Structure (CIF):
```
data_VReMo2
_chemical_formula_sum 'V1 Re1 Mo2'
_cell_length_a 4.399
_cell_length_b 4.399
_cell_length_c 4.399
_cell_angle_alpha 60.00
_cell_angle_beta 60.00
_cell_angle_gamma 60.00
_space_group_name_H-M_alt 'P 1'
_space_group_IT_number 1
loop_
_space_group_symop_operation_xyz
'x,y,z'
loop_
_atom_site_label
_atom_site_fract_x
_atom_site_fract_y
_atom_site_fract_z
Re1 0.500 0.500 0.500
Mo1 0.250 0.250 0.250
Mo2 0.750 0.750 0.750
V1 0.000 0.000 0.000
```